# LaPr6YTm2

A geometry-optimized LaPr6YTm2 structure (PBE, Alexandria).

Geometry as POSCAR:
```
LaPr6YTm2
1.0
4.6700 -7.7094 0.0000
4.6700 7.7094 0.0000
-1.3975 0.0000 9.7356
La Pr Y Tm
2 12 2 4
direct
0.0938 0.9062 0.7500
0.9062 0.0938 0.2500
0.0077 0.7956 0.3793
0.0650 0.5168 0.1831
0.2044 0.9923 0.1207
0.2612 0.6102 0.5544
0.3898 0.7388 0.9456
0.4832 0.9350 0.3169
0.5168 0.0650 0.6831
0.6102 0.2612 0.0544
0.7388 0.3898 0.4456
0.7956 0.0077 0.8793
0.9350 0.4832 0.8169
0.9923 0.2044 0.6207
0.4699 0.5301 0.2500
0.5301 0.4699 0.7500
0.2087 0.3053 0.9533
0.3053 0.2087 0.4533
0.6947 0.7913 0.5467
0.7913 0.6947 0.0467
```

For the magnetization, the calculation gives 0.0 μB per formula unit. As for the density of states at the Fermi level: 1.504 states/eV per atom. The calculation puts the formation enthalpy at 0 K at 0.108 eV per atom.


# AlTlOs2

A geometry-optimized AlTlOs2 structure (PBE, Alexandria).

Geometry as POSCAR:
```
AlTlOs2
1.0
2.9351 0.0000 0.0000
0.0000 4.0411 0.0000
-1.1519 0.0000 5.5741
Al Tl Os
1 1 2
direct
0.0000 0.0000 0.0000
0.0000 0.0000 0.5000
0.3652 0.5000 0.2089
0.6348 0.5000 0.7911
```

The offset from the most stable computed form comes out at 0.2571 eV/atom. For the magnetization, the calculation gives 0.0 μB per formula unit. As for the density of states at the Fermi level: 0.593 states/eV per atom. The calculation puts the formation enthalpy at 0 K at 0.484 eV per atom.


# NaGaTe2

A geometry-optimized NaGaTe2 structure (PBE, Alexandria).

Geometry as POSCAR:
```
NaGaTe2
1.0
-4.1452 4.1452 3.4441
4.1452 -4.1452 3.4441
4.1452 4.1452 -3.4441
Na Ga Te
2 2 4
direct
0.2500 0.2500 0.0000
0.7500 0.7500 0.0000
0.2500 0.7500 0.5000
0.7500 0.2500 0.5000
0.1754 0.6754 0.8508
0.3246 0.1754 0.5000
0.6754 0.8246 0.5000
0.8246 0.3246 0.1492
```

For the magnetization, the calculation gives 0.0 μB per formula unit. Its formation energy from raw total energies is -0.585 eV per atom. As for the density of states at the Fermi level: 0.000 states/eV per atom.


# ErTmMgHg

A geometry-optimized ErTmMgHg structure (PBE, Alexandria).

Geometry as POSCAR:
```
ErTmMgHg
1.0
0.0000 3.7050 3.7050
3.7050 0.0000 3.7050
3.7050 3.7050 0.0000
Er Tm Mg Hg
1 1 1 1
direct
0.0000 0.0000 0.0000
0.5000 0.5000 0.5000
0.7500 0.7500 0.7500
0.2500 0.2500 0.2500
```

For the magnetization, the calculation gives 0.0 μB per formula unit. As for the density of states at the Fermi level: 1.017 states/eV per atom. The calculation puts the formation enthalpy at 0 K at -0.253 eV per atom.


# MgTe

A geometry-optimized MgTe structure (PBE, Alexandria).

Geometry as POSCAR:
```
MgTe
1.0
5.7483 0.0000 0.0000
0.0000 5.7483 0.0000
0.0000 0.0000 5.7483
Mg Te
3 3
direct
0.0000 0.0000 0.5000
0.0000 0.5000 0.0000
0.5000 0.0000 0.0000
0.0000 0.5000 0.5000
0.5000 0.0000 0.5000
0.5000 0.5000 0.0000
```

For the magnetization, the calculation gives 0.0 μB per formula unit. Its formation energy from raw total energies is -0.269 eV per atom. As for the density of states at the Fermi level: 0.875 states/eV per atom.


# Cu3PbO4

A geometry-optimized Cu3PbO4 structure (PBE, Alexandria).

Geometry as POSCAR:
```
Cu3PbO4
1.0
5.7538 0.0000 0.0000
0.0000 5.7538 0.0000
0.0000 0.0000 5.7538
Cu Pb O
6 2 8
direct
0.0000 0.2500 0.5000
0.0000 0.7500 0.5000
0.2500 0.5000 0.0000
0.5000 0.0000 0.2500
0.5000 0.0000 0.7500
0.7500 0.5000 0.0000
0.0000 0.0000 0.0000
0.5000 0.5000 0.5000
0.2500 0.2500 0.2500
0.2500 0.2500 0.7500
0.2500 0.7500 0.2500
0.2500 0.7500 0.7500
0.7500 0.2500 0.2500
0.7500 0.2500 0.7500
0.7500 0.7500 0.2500
0.7500 0.7500 0.7500
```

For the magnetization, the calculation gives 0.0 μB per formula unit. Its formation energy from raw total energies is -0.591 eV per atom. As for the density of states at the Fermi level: 0.612 states/eV per atom.


# HfTa12Nb6

A geometry-optimized HfTa12Nb6 structure (PBE, Alexandria).

Geometry as POSCAR:
```
HfTa12Nb6
1.0
5.7046 3.2936 3.2641
-5.7046 3.2936 3.2641
0.0000 -6.5871 3.2641
Hf Ta Nb
1 12 6
direct
0.0000 0.0000 0.0000
0.0722 0.3300 0.3300
0.2475 0.5000 0.7525
0.2475 0.7525 0.5000
0.3300 0.0722 0.3300
0.3300 0.3300 0.0722
0.5000 0.2475 0.7525
0.5000 0.7525 0.2475
0.6700 0.6700 0.9278
0.6700 0.9278 0.6700
0.7525 0.2475 0.5000
0.7525 0.5000 0.2475
0.9278 0.6700 0.6700
0.0973 0.0973 0.6709
0.0973 0.6709 0.0973
0.3291 0.9027 0.9027
0.6709 0.0973 0.0973
0.9027 0.3291 0.9027
0.9027 0.9027 0.3291
```

For the magnetization, the calculation gives 0.0 μB per formula unit. As for the density of states at the Fermi level: 0.958 states/eV per atom. The calculation puts the formation enthalpy at 0 K at 0.286 eV per atom.


# Er2Ga3Pt2

A geometry-optimized Er2Ga3Pt2 structure (PBE, Alexandria).

Geometry as POSCAR:
```
Er2Ga3Pt2
1.0
4.9921 -2.1650 0.0000
4.9921 2.1650 0.0000
-2.5990 0.0000 6.1408
Er Ga Pt
2 3 2
direct
0.1519 0.1519 0.2749
0.8481 0.8481 0.7251
0.3861 0.3861 0.0576
0.5000 0.5000 0.5000
0.6139 0.6139 0.9424
0.1409 0.1409 0.7150
0.8591 0.8591 0.2850
```

For the magnetization, the calculation gives 0.0 μB per formula unit. As for the density of states at the Fermi level: 0.637 states/eV per atom. The calculation puts the formation enthalpy at 0 K at -0.939 eV per atom.


# TbPaCu2

A geometry-optimized TbPaCu2 structure (PBE, Alexandria).

Geometry as POSCAR:
```
TbPaCu2
1.0
3.2915 0.0000 0.0000
0.0000 3.2915 0.0000
0.0000 0.0000 7.5064
Tb Pa Cu
1 1 2
direct
0.0000 0.0000 0.0000
0.0000 0.0000 0.5000
0.5000 0.5000 0.2499
0.5000 0.5000 0.7501
```

The offset from the most stable computed form comes out at 0.0000 eV/atom. For the magnetization, the calculation gives 0.0 μB per formula unit. As for the density of states at the Fermi level: 1.323 states/eV per atom. The calculation puts the formation enthalpy at 0 K at 0.003 eV per atom.


# SiP2SeS

A geometry-optimized SiP2SeS structure (PBE, Alexandria).

Geometry as POSCAR:
```
SiP2SeS
1.0
4.7734 0.0000 0.0000
0.0000 4.7734 0.0000
0.0000 0.0000 4.7316
Si P Se S
1 2 1 1
direct
0.0000 0.0000 0.0000
0.0000 0.5000 0.5000
0.5000 0.0000 0.5000
0.5000 0.5000 0.5000
0.5000 0.5000 0.0000
```

The offset from the most stable computed form comes out at 0.4841 eV/atom. For the magnetization, the calculation gives 0.0 μB per formula unit. Its formation energy from raw total energies is 1.201 eV per atom. As for the density of states at the Fermi level: 1.042 states/eV per atom.


# LaDy4Ho2Tm

A geometry-optimized LaDy4Ho2Tm structure (PBE, Alexandria).

Geometry as POSCAR:
```
LaDy4Ho2Tm
1.0
7.1034 0.0000 0.0000
0.0000 7.1324 0.0000
0.0000 0.0000 10.0362
La Dy Ho Tm
2 8 4 2
direct
0.0000 0.0000 0.0000
0.0000 0.5000 0.0000
0.2528 0.2495 0.2532
0.2528 0.2495 0.7468
0.2528 0.7505 0.2532
0.2528 0.7505 0.7468
0.7472 0.2495 0.2532
0.7472 0.2495 0.7468
0.7472 0.7505 0.2532
0.7472 0.7505 0.7468
0.0000 0.5000 0.5000
0.5000 0.0000 0.5000
0.5000 0.5000 0.0000
0.5000 0.5000 0.5000
0.0000 0.0000 0.5000
0.5000 0.0000 0.0000
```

For the magnetization, the calculation gives 0.0 μB per formula unit. As for the density of states at the Fermi level: 1.243 states/eV per atom. The calculation puts the formation enthalpy at 0 K at 0.020 eV per atom.


# Rb2TaBBr6

A geometry-optimized Rb2TaBBr6 structure (PBE, Alexandria).

Geometry as POSCAR:
```
Rb2TaBBr6
1.0
-3.8182 3.8182 5.3828
3.8182 -3.8182 5.3828
3.8182 3.8182 -5.3828
Rb Ta B Br
2 1 1 6
direct
0.2500 0.7500 0.5000
0.7500 0.2500 0.5000
0.0000 0.0000 0.0000
0.5000 0.5000 0.0000
0.2442 0.2442 0.4883
0.2442 0.7558 0.0000
0.2449 0.2449 0.0000
0.7551 0.7551 0.0000
0.7558 0.2442 0.0000
0.7558 0.7558 0.5117
```

For the magnetization, the calculation gives 2.0 μB per formula unit. Its formation energy from raw total energies is -0.610 eV per atom. As for the density of states at the Fermi level: 0.665 states/eV per atom.


# Ba2TaTe

A geometry-optimized Ba2TaTe structure (PBE, Alexandria).

Geometry as POSCAR:
```
Ba2TaTe
1.0
3.7830 0.0000 0.0000
0.0000 3.7830 0.0000
0.0000 0.0000 10.0364
Ba Ta Te
2 1 1
direct
0.0000 0.0000 0.0000
0.5000 0.5000 0.3998
0.0000 0.0000 0.6450
0.5000 0.5000 0.7578
```

For the magnetization, the calculation gives 0.6 μB per formula unit. Its formation energy from raw total energies is 0.103 eV per atom. As for the density of states at the Fermi level: 0.826 states/eV per atom.


# AcSmHg2

A geometry-optimized AcSmHg2 structure (PBE, Alexandria).

Geometry as POSCAR:
```
AcSmHg2
1.0
1.9886 1.1481 9.6049
-1.9886 1.1481 9.6049
0.0000 -2.2962 9.6049
Ac Sm Hg
1 1 2
direct
0.0000 0.0000 0.0000
0.5000 0.5000 0.5000
0.2438 0.2438 0.2438
0.7562 0.7562 0.7562
```

For the magnetization, the calculation gives 0.0 μB per formula unit. As for the density of states at the Fermi level: 1.264 states/eV per atom. The calculation puts the formation enthalpy at 0 K at -0.314 eV per atom.


# MgIn2Te4

A geometry-optimized MgIn2Te4 structure (PBE, Alexandria).

Geometry as POSCAR:
```
MgIn2Te4
1.0
-3.1646 3.1646 6.3908
3.1646 -3.1646 6.3908
3.1646 3.1646 -6.3908
Mg In Te
1 2 4
direct
0.0000 0.0000 0.0000
0.2500 0.7500 0.5000
0.7500 0.2500 0.5000
0.1596 0.1596 0.5448
0.3852 0.8404 0.0000
0.6148 0.6148 0.4552
0.8404 0.3852 0.0000
```

For the magnetization, the calculation gives 0.0 μB per formula unit. Its formation energy from raw total energies is -0.484 eV per atom.


# ZrNpTe3

A geometry-optimized ZrNpTe3 structure (PBE, Alexandria).

Geometry as POSCAR:
```
ZrNpTe3
1.0
3.6215 -6.3839 0.0000
3.6215 6.3839 0.0000
-2.5444 0.0000 6.8275
Zr Np Te
2 2 6
direct
0.1725 0.8275 0.0000
0.8275 0.1725 0.0000
0.3327 0.6673 0.5000
0.6673 0.3327 0.5000
0.0934 0.4105 0.7633
0.2385 0.2385 0.2385
0.4105 0.0934 0.7633
0.5895 0.9066 0.2367
0.7615 0.7615 0.7615
0.9066 0.5895 0.2367
```

The offset from the most stable computed form comes out at 0.0000 eV/atom. For the magnetization, the calculation gives 4.5 μB per formula unit. Its formation energy from raw total energies is -0.722 eV per atom. As for the density of states at the Fermi level: 2.521 states/eV per atom.


# HoZn2Ag

A geometry-optimized HoZn2Ag structure (PBE, Alexandria).

Geometry as POSCAR:
```
HoZn2Ag
1.0
6.9487 0.0000 0.0000
0.0000 4.3259 0.0000
0.0000 0.0000 10.1653
Ho Zn Ag
4 8 4
direct
0.2202 0.2500 0.1733
0.2798 0.7500 0.6733
0.7202 0.2500 0.3267
0.7798 0.7500 0.8267
0.0805 0.2500 0.8521
0.1939 0.7500 0.9630
0.3061 0.2500 0.4630
0.4195 0.7500 0.3521
0.5805 0.2500 0.6479
0.6939 0.7500 0.5370
0.8061 0.2500 0.0370
0.9195 0.7500 0.1479
0.0361 0.7500 0.4019
0.4639 0.2500 0.9019
0.5361 0.7500 0.0981
0.9639 0.2500 0.5981
```

For the magnetization, the calculation gives 0.0 μB per formula unit. As for the density of states at the Fermi level: 0.680 states/eV per atom. The calculation puts the formation enthalpy at 0 K at -0.322 eV per atom.


# LiTeI

A geometry-optimized LiTeI structure (PBE, Alexandria).

Geometry as POSCAR:
```
LiTeI
1.0
11.7789 -2.0200 0.0000
11.7789 2.0200 0.0000
-0.0031 0.0000 4.4124
Li Te I
2 2 2
direct
0.1991 0.1991 0.2491
0.8009 0.8009 0.7509
0.0350 0.0350 0.2502
0.9650 0.9650 0.7498
0.3188 0.3188 0.2502
0.6812 0.6812 0.7498
```

The offset from the most stable computed form comes out at 0.0000 eV/atom. For the magnetization, the calculation gives 0.0 μB per formula unit. Its formation energy from raw total energies is -0.673 eV per atom. As for the density of states at the Fermi level: 0.097 states/eV per atom.


# CsLi2ScI6

A geometry-optimized CsLi2ScI6 structure (PBE, Alexandria).

Geometry as POSCAR:
```
CsLi2ScI6
1.0
7.4154 0.0000 0.0000
3.7070 6.4243 0.0000
3.6950 2.1411 9.2394
Cs Li Sc I
1 2 1 6
direct
0.0000 0.0000 0.0000
0.1677 0.1676 0.4976
0.8323 0.8324 0.5024
0.5000 0.5000 0.5000
0.1162 0.7597 0.6797
0.2398 0.5558 0.3203
0.4446 0.1156 0.6799
0.5554 0.8844 0.3201
0.7602 0.4442 0.6797
0.8838 0.2403 0.3203
```

For the magnetization, the calculation gives 0.0 μB per formula unit. Its formation energy from raw total energies is -1.290 eV per atom. As for the density of states at the Fermi level: 0.000 states/eV per atom.


# LuThTlPt

A geometry-optimized LuThTlPt structure (PBE, Alexandria).

Geometry as POSCAR:
```
LuThTlPt
1.0
0.0000 3.6864 3.6864
3.6864 0.0000 3.6864
3.6864 3.6864 0.0000
Lu Th Tl Pt
1 1 1 1
direct
0.0000 0.0000 0.0000
0.5000 0.5000 0.5000
0.2500 0.2500 0.2500
0.7500 0.7500 0.7500
```

For the magnetization, the calculation gives 0.0 μB per formula unit. As for the density of states at the Fermi level: 0.773 states/eV per atom. The calculation puts the formation enthalpy at 0 K at -0.549 eV per atom.


Sequential V output: 701.0 66.1 236.7 101.7 189.9 190.5 368.0 132.7 81.3 107.8 508.5 313.9 143.6 131.6 256.0 315.7 305.6 210.0 440.2 100.2 Å³ per cell